# PBE YInPb3, optimized geometry
data_YInPb3
_space_group_name_H-M_alt 'P 1'
_space_group_IT_number 1
_cell_length_a 4.580
_cell_length_b 5.909
_cell_length_c 6.824
_cell_angle_alpha 112.48
_cell_angle_beta 90.17
_cell_angle_gamma 112.72
loop_
_space_group_symop_operation_xyz
'x,y,z'
loop_
_atom_site_label
_atom_site_type_symbol
_atom_site_fract_x
_atom_site_fract_y
_atom_site_fract_z
Y1 Y 0.000 0.000 0.000
In1 In 0.972 0.944 0.493
Pb1 Pb 0.280 0.563 0.590
Pb2 Pb 0.346 0.692 0.158
Pb3 Pb 0.654 0.308 0.839
# Relative energy among the computed polymorphs, eV/f.u.: 0.00
# ΔE_f, kcal/mol of atoms: -2.7